VASP calculation (PBE-GGA) on a geometry-optimized Pr2NdY4Tm2 structure.

Output
M_tot (μB/atom): 0.000
DFT formation energy (eV/atom): 0.08
Calculated total energy (eV/atom): -5.382

a = 6.836 Å, b = 10.052 Å, c = 6.663 Å
α = 121.18°, β = 126.90°, γ = 59.10°
Element x y z (fractional)
Pr  0.268  0.654  0.599
Pr  0.732  0.346  0.401
Nd  0.000  0.000  0.000
Y  0.741  0.882  0.201
Y  0.614  0.759  0.505
Y  0.259  0.118  0.799
Y  0.386  0.241  0.495
Tm  0.819  0.448  0.036
Tm  0.181  0.552  0.964

***

VASP calculation (PBE-GGA) on a geometry-optimized CeSm5Al6 structure.

Output
M_tot (μB/atom): 0.072
DFT formation energy (eV/atom): -0.35
Calculated total energy (eV/atom): -4.682

a = 5.199 Å, b = 7.371 Å, c = 9.013 Å
α = 65.86°, β = 73.26°, γ = 90.00°
Each line ends with the local moment (μB).
Element x y z (fractional)
Sm  0.664  0.164  0.672  0.00
Sm  0.332  0.332  0.336  -0.01
Sm  0.000  0.500  0.000  0.01
Sm  0.668  0.668  0.664  -0.01
Sm  0.336  0.836  0.328  0.00
Ce  0.000  0.000  0.000  0.73
Al  0.832  0.579  0.336  0.00
Al  0.832  0.085  0.336  0.00
Al  0.500  0.744  0.000  0.01
Al  0.500  0.256  0.000  0.01
Al  0.168  0.915  0.664  0.00
Al  0.168  0.421  0.664  0.00

***

VASP calculation (PBE-GGA) on a geometry-optimized PrSm4Hg structure.

Output
Energy above the most stable polymorph in this dataset (eV/atom): 0.087
M_tot (μB/atom): 0.000
DFT formation energy (eV/atom): -0.06
Calculated total energy (eV/atom): -4.052

a = 6.498 Å, b = 9.187 Å, c = 8.377 Å
α = 113.49°, β = 100.14°, γ = 112.72°
Element x y z (fractional)
Pr  0.344  0.594  0.187
Pr  0.656  0.406  0.813
Sm  0.038  0.165  0.768
Sm  0.762  0.714  0.625
Sm  0.230  0.603  0.768
Sm  0.364  0.912  0.625
Sm  0.636  0.088  0.375
Sm  0.770  0.397  0.232
Sm  0.238  0.286  0.375
Sm  0.962  0.835  0.232
Hg  0.251  0.001  0.002
Hg  0.749  0.999  0.998

***

VASP calculation (PBE-GGA) on a geometry-optimized Cd2In3Pb8 structure.

Output
Energy above the most stable polymorph in this dataset (eV/atom): 0.053
M_tot (μB/atom): 0.000
DFT formation energy (eV/atom): 0.09
Calculated total energy (eV/atom): -2.961

a = 6.826 Å, b = 8.967 Å, c = 8.115 Å
α = 123.54°, β = 98.91°, γ = 90.00°
Element x y z (fractional)
Cd  0.235  0.186  0.371
Cd  0.765  0.814  0.629
In  0.500  0.000  0.000
In  0.000  0.182  0.000
In  0.000  0.818  0.000
Pb  0.856  0.592  0.184
Pb  0.144  0.408  0.816
Pb  0.777  0.210  0.420
Pb  0.223  0.790  0.580
Pb  0.542  0.568  0.745
Pb  0.542  0.178  0.745
Pb  0.458  0.822  0.255
Pb  0.458  0.432  0.255

***

VASP calculation (PBE-GGA) on a geometry-optimized Be3Fe2Si structure.

Output
M_tot (μB/atom): 0.297
Calculated total energy (eV/atom): -5.839
E_form (uncorrected) (eV/atom): -0.251

a = 4.376 Å, b = 4.376 Å, c = 6.033 Å
α = 79.84°, β = 79.84°, γ = 93.08°
Each line ends with the local moment (μB).
Element x y z (fractional)
Be  0.430  0.570  0.250  -0.03
Be  0.570  0.430  0.750  -0.03
Be  0.820  0.644  0.998  -0.03
Be  0.356  0.180  0.502  -0.03
Be  0.644  0.820  0.498  -0.03
Be  0.180  0.356  0.002  -0.03
Fe  0.120  0.628  0.626  0.99
Fe  0.628  0.120  0.126  0.99
Fe  0.372  0.880  0.874  0.99
Fe  0.880  0.372  0.374  0.99
Si  0.913  0.087  0.750  -0.03
Si  0.087  0.913  0.250  -0.03

***

VASP calculation (PBE-GGA) on a geometry-optimized YInMo2Os structure.

Output
M_tot (μB/atom): 0.320
DFT formation energy (eV/atom): 1.86
Calculated total energy (eV/atom): -6.556

a = 4.930 Å, b = 4.885 Å, c = 4.930 Å
α = 90.00°, β = 90.00°, γ = 90.00°
Each line ends with the local moment (μB).
Element x y z (fractional)
Y  0.500  0.500  0.500  0.05
Mo  0.000  0.000  0.500  0.67
Mo  0.500  0.000  0.000  0.43
Os  0.000  0.500  0.000  0.17
In  0.000  0.000  0.000  0.00

***

VASP calculation (PBE-GGA) on a geometry-optimized La5TmBi4 structure.

Output
M_tot (μB/atom): 0.000
DFT formation energy (eV/atom): -0.62
Calculated total energy (eV/atom): -5.079

a = 4.527 Å, b = 8.952 Å, c = 10.135 Å
α = 104.16°, β = 102.91°, γ = 90.00°
Element x y z (fractional)
La  0.826  0.652  0.652
La  0.834  0.179  0.668
La  0.166  0.821  0.332
La  0.500  0.500  0.000
La  0.174  0.348  0.348
Tm  0.500  0.000  0.000
Bi  0.336  0.918  0.671
Bi  0.995  0.756  0.990
Bi  0.664  0.082  0.329
Bi  0.005  0.244  0.010

***

VASP calculation (PBE-GGA) on a geometry-optimized LiMnZn structure.

Output
Energy above the most stable polymorph in this dataset (eV/atom): 0.138
M_tot (μB/atom): 0.226
DFT formation energy (eV/atom): 0.24
Calculated total energy (eV/atom): -3.884

a = 6.584 Å, b = 6.584 Å, c = 6.584 Å
α = 158.52°, β = 158.52°, γ = 30.56°
Each line ends with the local moment (μB).
Element x y z (fractional)
Li  0.002  0.002  0.000  -0.03
Mn  0.669  0.669  0.000  0.77
Zn  0.328  0.328  0.000  -0.02

***

VASP calculation (PBE-GGA) on a geometry-optimized SmMgGaGe structure.

Output
M_tot (μB/atom): 0.000
DFT formation energy (eV/atom): -0.36
Calculated total energy (eV/atom): -3.845

a = 4.993 Å, b = 4.993 Å, c = 4.993 Å
α = 60.00°, β = 60.00°, γ = 60.00°
Element x y z (fractional)
Mg  0.500  0.500  0.500
Ge  0.250  0.250  0.250
Ga  0.750  0.750  0.750
Sm  0.000  0.000  0.000

***

VASP calculation (PBE-GGA) on a geometry-optimized Ho7Sn2Hg2 structure.

Output
M_tot (μB/atom): 0.000
DFT formation energy (eV/atom): -0.17
Calculated total energy (eV/atom): -3.868

a = 6.903 Å, b = 7.394 Å, c = 6.903 Å
α = 90.00°, β = 107.90°, γ = 90.00°
Element x y z (fractional)
Ho  0.000  0.280  0.500
Ho  0.500  0.720  0.000
Ho  0.000  0.720  0.500
Ho  0.500  0.280  0.000
Ho  0.000  0.000  0.000
Ho  0.500  0.748  0.500
Ho  0.500  0.252  0.500
Sn  0.819  0.500  0.819
Sn  0.181  0.500  0.181
Hg  0.713  0.000  0.287
Hg  0.287  0.000  0.713

***

VASP calculation (PBE-GGA) on a geometry-optimized YWSe2 structure.

Output
Energy above the most stable polymorph in this dataset (eV/atom): 0.350
M_tot (μB/atom): 0.120
Calculated total energy (eV/atom): -6.786
E_form (uncorrected) (eV/atom): -0.189

a = 9.377 Å, b = 9.377 Å, c = 9.377 Å
α = 20.79°, β = 20.79°, γ = 20.79°
Each line ends with the local moment (μB).
Element x y z (fractional)
Y  0.000  0.000  0.000  0.15
Se  0.895  0.895  0.895  0.01
Se  0.105  0.105  0.105  0.01
W  0.500  0.500  0.500  0.10

***

VASP calculation (PBE-GGA) on a geometry-optimized LiLaTl structure.

Output
Energy above the most stable polymorph in this dataset (eV/atom): 0.261
M_tot (μB/atom): 0.117
DFT formation energy (eV/atom): -0.05
Calculated total energy (eV/atom): -3.120

a = 5.551 Å, b = 3.653 Å, c = 5.785 Å
α = 90.00°, β = 90.01°, γ = 49.12°
Each line ends with the local moment (μB).
Element x y z (fractional)
Li  0.500  0.500  0.000  0.01
La  0.000  0.000  0.500  0.15
Tl  0.000  0.500  0.000  -0.01